Record 1
Below is a relaxed structure of GeTe2AsN, with properties calculated at the PBE level.

Cell: 5.7209 5.7209 3.6206 Å, 90.00 90.00 90.00°
Space group P4/mmm (No. 123)
Unique sites:
1 Ge 0.0000 0.0000 0.0000 (multiplicity 1)
2 Te 0.0000 0.5000 0.5000 (multiplicity 2)
3 As 0.5000 0.5000 0.5000 (multiplicity 1)
4 N 0.5000 0.5000 0.0000 (multiplicity 1)

Properties
relative energy among the computed polymorphs	0.022	eV per atom
formation energy (no corrections)	0.80	eV per atom

***

Record 2
Below is a relaxed structure of GeTe2AsN, with properties calculated at the PBE level.

Cell: 5.5877 5.5877 3.5868 Å, 90.00 90.00 90.00°
Space group P4/mmm (No. 123)
Unique sites:
1 Ge 0.0000 0.0000 0.0000 (multiplicity 1)
2 Te 0.0000 0.5000 0.0000 (multiplicity 2)
3 As 0.5000 0.5000 0.5000 (multiplicity 1)
4 N 0.0000 0.0000 0.5000 (multiplicity 1)

Properties
relative energy among the computed polymorphs	0.000	eV per atom
formation energy (no corrections)	0.77	eV per atom

***

Record 3
Below is a relaxed structure of NaGe2As, with properties calculated at the PBE level.

Cell: 4.3474 3.7695 5.9543 Å, 90.00 103.72 90.00°
Space group Pm (No. 6)
Unique sites:
1 Na 0.0000 0.0000 0.0000 (multiplicity 1)
2 Ge 0.0373 0.5000 0.5569 (multiplicity 1)
3 Ge 0.5047 0.0000 0.5096 (multiplicity 1)
4 As 0.5752 0.5000 0.2174 (multiplicity 1)

Properties
ΔE_f	-40.7	meV/atom

***

Record 4
Below is a relaxed structure of NaGe5As4, with properties calculated at the PBE level.

Cell: 7.3400 10.9831 5.9015 Å, 90.00 90.00 90.00°
Space group Pmmn (No. 59, origin choice 2)
Unique sites:
1 Na 0.2500 0.2500 0.0569 (multiplicity 2)
2 Ge 0.0452 0.5449 0.3018 (multiplicity 8)
3 Ge 0.2500 0.7500 0.6788 (multiplicity 2)
4 As 0.0489 0.2500 0.5421 (multiplicity 4)
5 As 0.2500 0.5466 0.9042 (multiplicity 4)

Properties
ΔE_f	53.5	meV/atom

***

Record 5
Below is a relaxed structure of Na6GeAs4, with properties calculated at the PBE level.

Cell: 9.8725 9.8725 6.5279 Å, 90.00 90.00 120.00°
Space group P6_3mc (No. 186)
Unique sites:
1 Na 0.0276 0.5138 0.0000 (multiplicity 6)
2 Na 0.1527 0.3054 0.7426 (multiplicity 6)
3 Ge 0.3333 0.6667 0.3554 (multiplicity 2)
4 As 0.1928 0.3856 0.2609 (multiplicity 6)
5 As 0.3333 0.6667 0.7345 (multiplicity 2)

Properties
ΔE_f	-310.4	meV/atom

***

Record 6
Below is a relaxed structure of NaGe3As3, with properties calculated at the PBE level.

Cell: 7.8811 7.8811 19.8839 Å, 90.00 90.00 120.00°
Space group R-3 (No. 148, hexagonal axes)
Unique sites:
1 Na 0.0000 0.0000 0.1672 (multiplicity 6)
2 Ge 0.0016 0.3380 0.2837 (multiplicity 18)
3 As 0.0012 0.6653 0.5874 (multiplicity 18)

Properties
ΔE_f	-18.4	meV/atom

***

Energy? In order: -3.98; -4.00; -3.84; -4.25; -3.14; -4.18 eV/atom.
Magnetization? In order: 0.000; 0.000; 0.000; 0.000; 0.000; 0.000 μB/atom.